No. 1
# ScV2Fe2 (PBE, relaxed)
# Relative energy among the computed polymorphs ... 263.7 meV per atom
# DFT formation energy ... 77 kJ/mol of formula units
# Total moment ... 1.1 Bohr magnetons per cell
data_ScV2Fe2
_chemical_formula_sum 'Sc1 V2 Fe2'
_space_group_name_H-M_alt 'P 1'
_space_group_IT_number 1
_cell_length_a 5.440
_cell_length_b 5.440
_cell_length_c 5.440
_cell_angle_alpha 137.00
_cell_angle_beta 137.00
_cell_angle_gamma 62.44
loop_
_space_group_symop_operation_xyz
'x,y,z'
loop_
_atom_site_label
_atom_site_type_symbol
_atom_site_fract_x
_atom_site_fract_y
_atom_site_fract_z
Sc1 Sc 0.000 0.000 0.000
V1 V 0.371 0.371 0.000
V2 V 0.629 0.629 0.000
Fe1 Fe 0.250 0.750 0.500
Fe2 Fe 0.750 0.250 0.500

=====

No. 2
# Tb3CeNi (PBE, relaxed)
# DFT formation energy ... 12 kJ/mol of formula units
# Total moment ... 1.5 Bohr magnetons per cell
data_Tb3CeNi
_chemical_formula_sum 'Tb3 Ce1 Ni1'
_space_group_name_H-M_alt 'P 1'
_space_group_IT_number 1
_cell_length_a 5.339
_cell_length_b 5.339
_cell_length_c 5.339
_cell_angle_alpha 90.00
_cell_angle_beta 90.00
_cell_angle_gamma 90.00
loop_
_space_group_symop_operation_xyz
'x,y,z'
loop_
_atom_site_label
_atom_site_type_symbol
_atom_site_fract_x
_atom_site_fract_y
_atom_site_fract_z
Tb1 Tb 0.000 0.000 0.500
Tb2 Tb 0.000 0.500 0.000
Tb3 Tb 0.500 0.000 0.000
Ce1 Ce 0.500 0.500 0.500
Ni1 Ni 0.000 0.000 0.000